First-principles (GGA-PBE) data for an optimized crystal structure of Dy3BiPS, as listed in Alexandria via LeMat-Bulk.

a b c (Å): 7.0683 4.1576 10.8291
angles (deg): 90.00 102.30 90.00
With the nearest neighbours (Å) after each atom.
Space group P2_1/m (No. 11)
One atom of each set of equivalent atoms:
Dy: 0.0382 0.2500 0.1486  1 S 2.79, 3 P 2.84-2.87
Dy: 0.2401 0.2500 0.5093  3 S 2.72-2.75
Dy: 0.4427 0.7500 0.8451  1 S 2.80, 3 P 2.85-2.89
Bi: 0.3451 0.7500 0.3075  7 Dy 3.17-3.22
P: 0.2346 0.2500 0.9453  6 Dy 2.84-2.89
S: 0.1275 0.7500 0.6391  5 Dy 2.72-2.80

Summary:
Final energy, hartree per atom: -0.219
Total magnetic moment, μB per formula unit: 0.00
E_form (uncorrected), eV/atom: -1.43
Theoretical density, g cm⁻³: 8.1